Computed, not measured: NdSmTmAl after structural relaxation at the PBE level of DFT.

Values from the calculation:
The calculated formation energy comes out at -181.9 meV per atom. The density of states at the Fermi level comes out at 0.88 states/eV per atom. As for the energy above the most stable polymorph in this dataset: 0 meV per atom.

Cell lengths 3.536, 3.536, 9.204 Å; angles 90.00, 90.00, 90.00 degrees
Space group P4mm (No. 99)
Asymmetric unit:
Nd  0.000  0.000  0.000 (multiplicity 1)
Sm  0.500  0.500  0.700 (multiplicity 1)
Tm  0.500  0.500  0.281 (multiplicity 1)
Al  0.000  0.000  0.483 (multiplicity 1)